No. 1
The following is a DFT calculation (PBE) of an optimized crystal structure of Zr4InH.

```
Zr4InH
1.0
3.803 -7.091 0.000
3.803 7.091 0.000
-3.038 0.000 4.572
Zr In H
8 2 2
Cartesian
0.161 3.953 3.942
-0.204 0.869 2.793
1.314 -0.869 0.507
2.888 3.953 2.916
1.680 -3.953 1.656
3.254 0.869 4.066
4.772 -0.869 1.779
4.407 -3.953 0.630
3.043 1.472 1.143
1.525 -1.472 3.429
1.525 5.319 3.429
3.043 -5.319 1.143
```

Calculated values
Fermi-level density of states ... 12.2 states/eV/cell
Calculated total energy ... -40.8 eV per formula unit

No. 2
The following is a DFT calculation (PBE) of an optimized crystal structure of Rb3U2Se7.

```
Rb3U2Se7
1.0
2.745 -13.695 0.000
2.745 13.695 0.000
0.000 0.000 5.441
Rb U Se
3 2 7
Cartesian
0.000 0.000 0.000
2.745 8.563 0.000
2.745 -8.563 0.000
2.745 2.750 2.721
2.745 -2.750 2.721
2.745 11.020 2.721
2.745 5.355 2.721
2.745 2.683 0.000
2.745 0.000 2.721
2.745 -2.683 0.000
2.745 -5.355 2.721
2.745 -11.020 2.721
```

Calculated values
Formation energy without anion corrections ... -26.41 kcal/mol of atoms
Fermi-level density of states ... 8.5 states/eV/cell
Calculated total energy ... -63.6 eV per formula unit

No. 3
The following is a DFT calculation (PBE) of an optimized crystal structure of HoPuAs2.

```
HoPuAs2
1.0
2.049 1.183 6.928
-2.049 1.183 6.928
0.000 -2.367 6.928
Ho Pu As
1 1 2
Cartesian
0.000 0.000 0.000
0.000 0.000 3.569
0.000 0.000 12.144
0.000 0.000 15.669
```

Calculated values
Polymorph energy (0 for the lowest one) ... 150 meV per atom
Fermi-level density of states ... 10.3 states/eV/cell
ΔE_f ... -1.124 eV/atom
Calculated total energy ... -32.7 eV per formula unit